KRe2Tc PBE-GGA relaxed; ΔE to the lowest computed polymorph = 0.101 eV per atom; mass density = 11.91 g/cm3; energy of formation = 0.821 eV per atom; VASP energy = -8.27 eV/atom
1.0
-0.465 1.357 2.322
-2.234 -1.083 -1.134
1.507 -8.808 5.447
Re K Tc
2 1 1
Direct
0.000 0.000 0.039
0.500 0.500 0.251
0.500 0.500 0.750
0.000 0.000 0.461